No. 1
## Li4TeSe (PBE-GGA)

Data for a geometry-optimized Li4TeSe structure.

Geometry as POSCAR:
```
Li4TeSe
1.0
0.0000 3.8112 3.8112
3.8112 0.0000 3.8112
3.8112 3.8112 0.0000
Li Te Se
4 1 1
direct
0.3756 0.3756 0.3756
0.3756 0.3756 0.8732
0.3756 0.8732 0.3756
0.8732 0.3756 0.3756
0.7500 0.7500 0.7500
0.0000 0.0000 0.0000
```

## Properties
crystal system = cubic
SG = No. 216
excess energy over the best structure of this formula in the dataset = 762 meV/atom
energy = -2.75 eV/atom

***

No. 2
## CaCeH (PBE-GGA)

Data for a geometry-optimized CaCeH structure.

Geometry as POSCAR:
```
CaCeH
1.0
10.0680 0.0000 0.0000
0.0000 3.7009 0.0000
-0.2510 0.0000 7.3768
Ca Ce H
4 4 4
direct
0.1503 0.2493 0.3825
0.1503 0.2507 0.8825
0.8497 0.7493 0.1175
0.8497 0.7507 0.6175
0.4128 0.7445 0.1701
0.4128 0.7555 0.6701
0.5872 0.2445 0.3299
0.5872 0.2555 0.8299
0.2782 0.2449 0.1386
0.2782 0.2551 0.6385
0.7218 0.7449 0.3614
0.7218 0.7551 0.8614
```

## Properties
crystal system = monoclinic
SG = No. 14
excess energy over the best structure of this formula in the dataset = 0 meV/atom
energy = -3.92 eV/atom

***

No. 3
## ErInI4 (PBE-GGA)

Data for a geometry-optimized ErInI4 structure.

Geometry as POSCAR:
```
ErInI4
1.0
7.5458 -2.2296 0.0000
7.5458 2.2296 0.0000
-1.6813 0.0000 8.5127
Er In I
1 1 4
direct
0.0000 0.0000 0.0000
0.5000 0.5000 0.5000
0.1196 0.1196 0.3149
0.3843 0.3843 0.1039
0.6157 0.6157 0.8961
0.8804 0.8804 0.6851
```

## Properties
crystal system = monoclinic
SG = No. 12
energy = -3.31 eV/atom

***

No. 4
## NaZnIn3 (PBE-GGA)

Data for a geometry-optimized NaZnIn3 structure.

Geometry as POSCAR:
```
NaZnIn3
1.0
7.4776 0.0000 0.0000
0.0000 4.6265 0.0000
-2.1863 0.0000 7.4100
Na Zn In
2 2 6
direct
0.1868 0.2500 0.1706
0.8132 0.7500 0.8294
0.4673 0.2500 0.7501
0.5327 0.7500 0.2499
0.0686 0.2500 0.6591
0.3045 0.7500 0.9049
0.3478 0.7500 0.5167
0.6522 0.2500 0.4833
0.6955 0.2500 0.0951
0.9314 0.7500 0.3409
```

## Properties
energy of formation = -38 meV/atom
crystal system = monoclinic
SG = No. 11
excess energy over the best structure of this formula in the dataset = 5 meV/atom
energy = -2.20 eV/atom

***

No. 5
## BaY4Pb (PBE-GGA)

Data for a geometry-optimized BaY4Pb structure.

Geometry as POSCAR:
```
BaY4Pb
1.0
0.0000 4.7754 4.7754
4.7754 0.0000 4.7754
4.7754 4.7754 0.0000
Ba Y Pb
1 4 1
direct
0.0000 0.0000 0.0000
0.3756 0.3756 0.3756
0.3756 0.3756 0.8732
0.3756 0.8732 0.3756
0.8732 0.3756 0.3756
0.7500 0.7500 0.7500
```

## Properties
energy of formation = 213 meV/atom
crystal system = cubic
SG = No. 216
energy = -5.03 eV/atom

***

No. 6
## CePmMgGa (PBE-GGA)

Data for a geometry-optimized CePmMgGa structure.

Geometry as POSCAR:
```
CePmMgGa
1.0
0.0000 3.7351 3.7351
3.7351 0.0000 3.7351
3.7351 3.7351 0.0000
Ce Pm Mg Ga
1 1 1 1
direct
0.0000 0.0000 0.0000
0.5000 0.5000 0.5000
0.2500 0.2500 0.2500
0.7500 0.7500 0.7500
```

## Properties
energy of formation = -248 meV/atom
crystal system = cubic
SG = No. 216
energy = -4.07 eV/atom

***

No. 7
## CdSn2Mo2 (PBE-GGA)

Data for a geometry-optimized CdSn2Mo2 structure.

Geometry as POSCAR:
```
CdSn2Mo2
1.0
-1.8099 1.8099 8.8933
1.8099 -1.8099 8.8933
1.8099 1.8099 -8.8933
Cd Sn Mo
1 2 2
direct
0.0000 0.0000 0.0000
0.3815 0.3815 0.0000
0.6185 0.6185 0.0000
0.2500 0.7500 0.5000
0.7500 0.2500 0.5000
```

## Properties
energy of formation = 405 meV/atom
crystal system = tetragonal
SG = No. 139
excess energy over the best structure of this formula in the dataset = 118 meV/atom
energy = -5.71 eV/atom

***

No. 8
## LiMg3 (PBE-GGA)

Data for a geometry-optimized LiMg3 structure.

Geometry as POSCAR:
```
LiMg3
1.0
3.1224 0.0000 0.0000
0.0000 5.0753 0.0000
0.0000 0.0000 5.5396
Li Mg
1 3
direct
0.0000 0.0000 0.0000
0.0000 0.5000 0.3216
0.5000 0.0000 0.5010
0.5000 0.5000 0.8323
```

## Properties
energy of formation = -26 meV/atom
crystal system = orthorhombic
SG = No. 25
energy = -1.70 eV/atom

***

No. 9
## ZnI2Cl2 (PBE-GGA)

Data for a geometry-optimized ZnI2Cl2 structure.

Geometry as POSCAR:
```
ZnI2Cl2
1.0
-2.0912 2.0912 8.1929
2.0912 -2.0912 8.1929
2.0912 2.0912 -8.1929
Zn I Cl
1 2 2
direct
0.0000 0.0000 0.0000
0.4122 0.4122 0.0000
0.5878 0.5878 0.0000
0.2500 0.7500 0.5000
0.7500 0.2500 0.5000
```

## Properties
crystal system = tetragonal
SG = No. 139
excess energy over the best structure of this formula in the dataset = 724 meV/atom
energy = -1.30 eV/atom

***

No. 10
## K2NaAgI4 (PBE-GGA)

Data for a geometry-optimized K2NaAgI4 structure.

Geometry as POSCAR:
```
K2NaAgI4
1.0
6.6419 -6.8216 0.0000
6.6419 6.8216 0.0000
-6.5322 0.0000 6.7457
K Na Ag I
4 2 2 8
direct
0.0000 0.0000 0.0000
0.0000 0.0000 0.5000
0.0000 0.5000 0.0000
0.5000 0.0000 0.5000
0.0000 0.5000 0.5000
0.5000 0.0000 0.0000
0.5000 0.5000 0.0000
0.5000 0.5000 0.5000
0.2571 0.7418 0.5165
0.2582 0.7429 0.9835
0.2768 0.2906 0.5241
0.2906 0.2768 0.0241
0.7094 0.7232 0.9759
0.7232 0.7094 0.4759
0.7418 0.2571 0.0165
0.7429 0.2582 0.4835
```

## Properties
crystal system = monoclinic
SG = No. 15
energy = -2.64 eV/atom

***

No. 11
## LiReSb (PBE-GGA)

Data for a geometry-optimized LiReSb structure.

Geometry as POSCAR:
```
LiReSb
1.0
0.0000 3.0823 3.0823
3.0823 0.0000 3.0823
3.0823 3.0823 0.0000
Li Re Sb
1 1 1
direct
0.0000 0.0000 0.0000
0.5000 0.5000 0.5000
0.2500 0.2500 0.2500
```

## Properties
crystal system = cubic
SG = No. 216
excess energy over the best structure of this formula in the dataset = 258 meV/atom
energy = -5.66 eV/atom

***

No. 12
## In2Ni2Pb (PBE-GGA)

Data for a geometry-optimized In2Ni2Pb structure.

Geometry as POSCAR:
```
In2Ni2Pb
1.0
-2.0751 2.0751 6.1190
2.0751 -2.0751 6.1190
2.0751 2.0751 -6.1190
In Ni Pb
2 2 1
direct
0.1254 0.1254 0.0000
0.8746 0.8746 0.0000
0.2500 0.7500 0.5000
0.7500 0.2500 0.5000
0.5000 0.5000 0.0000
```

## Properties
energy of formation = 198 meV/atom
crystal system = tetragonal
SG = No. 139
energy = -3.95 eV/atom